# 1
# LaPm4Ho (PBE, relaxed)
# Crystal system: monoclinic
# ΔH_f (0 K): 0.019 eV/atom
# M_tot: 0.0002 μB per atom
# Energy: -56.79 eV for the cell shown
data_LaPm4Ho
_chemical_formula_sum 'La2 Pm8 Ho2'
_space_group_name_H-M_alt 'C 1 2/m 1'
_space_group_IT_number 12
_cell_length_a 12.083
_cell_length_b 3.657
_cell_length_c 10.276
_cell_angle_alpha 90.00
_cell_angle_beta 115.01
_cell_angle_gamma 90.00
loop_
_space_group_symop_operation_xyz
'x,y,z'
'-x,-y,-z'
'-x,y,-z'
'x,-y,z'
'x+1/2,y+1/2,z'
'-x+1/2,-y+1/2,-z'
'-x+1/2,y+1/2,-z'
'x+1/2,-y+1/2,z'
loop_
_atom_site_label
_atom_site_type_symbol
_atom_site_fract_x
_atom_site_fract_y
_atom_site_fract_z
La1 La 0.000 0.000 0.000
Pm1 Pm 0.166 0.500 0.830
Pm2 Pm 0.167 0.500 0.337
Ho1 Ho 0.000 0.000 0.500

***

# 2
# La2Pm4Ho5 (PBE, relaxed)
# Crystal system: monoclinic
# ΔH_f (0 K): 0.117 eV/atom
# M_tot: 0.0000 μB per atom
# Energy: -100.91 eV for the cell shown
data_La2Pm4Ho5
_chemical_formula_sum 'La4 Pm8 Ho10'
_space_group_name_H-M_alt 'C 1 2/m 1'
_space_group_IT_number 12
_cell_length_a 24.198
_cell_length_b 3.543
_cell_length_c 8.763
_cell_angle_alpha 90.00
_cell_angle_beta 94.16
_cell_angle_gamma 90.00
loop_
_space_group_symop_operation_xyz
'x,y,z'
'-x,-y,-z'
'-x,y,-z'
'x,-y,z'
'x+1/2,y+1/2,z'
'-x+1/2,-y+1/2,-z'
'-x+1/2,y+1/2,-z'
'x+1/2,-y+1/2,z'
loop_
_atom_site_label
_atom_site_type_symbol
_atom_site_fract_x
_atom_site_fract_y
_atom_site_fract_z
La1 La 0.228 0.000 0.324
Pm1 Pm 0.042 0.500 0.841
Pm2 Pm 0.087 0.000 0.196
Ho1 Ho 0.000 0.000 0.500
Ho2 Ho 0.129 0.500 0.545
Ho3 Ho 0.185 0.500 0.972